Density functional theory data (PBE+U) for a geometry-optimized BaFeTc2O8 structure.

Computed properties:
- total magnetization (μB per atom) = 0.17
- crystal system = trigonal
- uncorrected energy (eV per cell) = -86.066
- symmetry = No. 147

a b c (Å): 5.6707 5.6707 7.2975
angles (deg): 90.00 90.00 120.00
Closest atoms and distances in Å follow each position.
Atoms (fractional coordinates):
1 Ba 0.0000 0.0000 0.0000  6 O 2.86
2 Fe 0.0000 0.0000 0.5000  6 O 2.05
3 Tc 0.3333 0.6667 0.7444  4 O 1.78-1.79
4 Tc 0.6667 0.3333 0.2556  4 O 1.78-1.79
5 O 0.1095 0.3211 0.6760  1 Tc 1.79
6 O 0.2117 0.8905 0.6760  1 Tc 1.79
7 O 0.3211 0.2117 0.3240  1 Tc 1.79
8 O 0.3333 0.6667 0.9883  1 Tc 1.78
9 O 0.6667 0.3333 0.0117  1 Tc 1.78
10 O 0.6789 0.7883 0.6760  1 Tc 1.79
11 O 0.7883 0.1095 0.3240  1 Tc 1.79
12 O 0.8905 0.6789 0.3240  1 Tc 1.79